LaMnFe3 (PBE, optimized geometry); ΔE_f = 2.165 eV/atom; space group = Pm-3m (221); crystal system = cubic; E_tot = -28.7 eV/cell
1.0
-0.839 -3.310 2.855
4.353 -0.369 0.852
-0.397 2.953 3.306
Fe Mn La
3 1 1
Cartesian
2.176 -0.184 0.426
-0.419 -1.655 1.427
-0.198 1.476 1.653
1.559 -0.363 3.506
0.000 0.000 0.000